# 1
# Mo2IrAu

A relaxed Mo2IrAu crystal (PBE-GGA, the Alexandria database).

Unit cell a=9.4607 b=9.4607 c=9.4607 alpha=17.07 beta=17.07 gamma=17.07
Closest atoms and distances in Å follow each position.
Element x y z (fractional)
1 Au 0.2500 0.2500 0.2500  6 Au 2.81, 6 Mo 2.93
2 Ir 0.7500 0.7500 0.7500  6 Mo 2.75, 6 Ir 2.81
3 Mo 0.0038 0.0038 0.0038  3 Ir 2.75, 6 Mo 2.81, 3 Au 2.93
4 Mo 0.4962 0.4962 0.4962  3 Ir 2.75, 6 Mo 2.81, 3 Au 2.93

Calculated values
- Energy above the most stable polymorph in this dataset: 0.53 eV per formula unit
- SG: No. 166
- ΔH_f (0 K): 117 meV/atom


# 2
# AgOsCl2

A relaxed AgOsCl2 crystal (PBE-GGA, the Alexandria database).

Unit cell a=2.9975 b=6.1096 c=4.1689 alpha=90.00 beta=90.00 gamma=90.00
Closest atoms and distances in Å follow each position.
Element x y z (fractional)
1 Ag 0.0000 0.5000 0.5000  4 Cl 2.57
2 Cl 0.0000 0.0000 0.0000  4 Os 2.57
3 Cl 0.5000 0.5000 0.0000  4 Ag 2.57
4 Os 0.5000 0.0000 0.5000  4 Cl 2.57

Calculated values
- Energy above the most stable polymorph in this dataset: 2.38 eV per formula unit
- SG: No. 47
- Formation energy without anion corrections: 0.8444 eV/atom


# 3
# Nd8Pt3Se4Cl

A relaxed Nd8Pt3Se4Cl crystal (PBE-GGA, the Alexandria database).

Unit cell a=8.3264 b=8.6433 c=8.3265 alpha=118.80 beta=120.00 gamma=90.00
Closest atoms and distances in Å follow each position.
Element x y z (fractional)
1 Nd 0.7474 0.2560 0.0087  2 Pt 2.95, 3 Se 2.97-3.05, 1 Cl 3.03
2 Nd 0.7473 0.2559 0.4945  2 Pt 2.95, 3 Se 2.97-3.05, 1 Cl 3.03
3 Nd 0.2613 0.2560 0.0087  2 Pt 2.95, 3 Se 2.97-3.05, 1 Cl 3.03
4 Nd 0.2527 0.7441 0.5055  2 Pt 2.95, 3 Se 2.97-3.05, 1 Cl 3.03
5 Nd 0.7387 0.7440 0.9913  2 Pt 2.95, 3 Se 2.97-3.05, 1 Cl 3.03
6 Nd 0.2571 0.2712 0.5141  3 Pt 2.91, 3 Se 3.09
7 Nd 0.7429 0.7288 0.4859  3 Pt 2.91, 3 Se 3.09
8 Nd 0.2526 0.7440 0.9913  2 Pt 2.95, 3 Se 2.97-3.05, 1 Cl 3.03
9 Pt 0.5000 0.5000 0.0000  6 Nd 2.91-2.95
10 Pt 0.5000 0.5000 0.5000  6 Nd 2.91-2.95
11 Pt 0.0000 0.5000 0.5000  6 Nd 2.91-2.95
12 Se 0.0000 0.0000 0.0000  6 Nd 3.05-3.09
13 Se 0.5000 0.0000 0.0000  6 Nd 2.97
14 Se 0.0000 0.0000 0.5000  6 Nd 3.05-3.09
15 Se 0.5000 0.0000 0.5000  6 Nd 3.05-3.09
16 Cl 0.0000 0.5000 0.0000  6 Nd 3.03

Calculated values
- SG: No. 166
- Formation energy without anion corrections: -1.4984 eV/atom


Copy entry 3 word for word.
# Nd8Pt3Se4Cl

A relaxed Nd8Pt3Se4Cl crystal (PBE-GGA, the Alexandria database).

Unit cell a=8.3264 b=8.6433 c=8.3265 alpha=118.80 beta=120.00 gamma=90.00
Closest atoms and distances in Å follow each position.
Element x y z (fractional)
1 Nd 0.7474 0.2560 0.0087  2 Pt 2.95, 3 Se 2.97-3.05, 1 Cl 3.03
2 Nd 0.7473 0.2559 0.4945  2 Pt 2.95, 3 Se 2.97-3.05, 1 Cl 3.03
3 Nd 0.2613 0.2560 0.0087  2 Pt 2.95, 3 Se 2.97-3.05, 1 Cl 3.03
4 Nd 0.2527 0.7441 0.5055  2 Pt 2.95, 3 Se 2.97-3.05, 1 Cl 3.03
5 Nd 0.7387 0.7440 0.9913  2 Pt 2.95, 3 Se 2.97-3.05, 1 Cl 3.03
6 Nd 0.2571 0.2712 0.5141  3 Pt 2.91, 3 Se 3.09
7 Nd 0.7429 0.7288 0.4859  3 Pt 2.91, 3 Se 3.09
8 Nd 0.2526 0.7440 0.9913  2 Pt 2.95, 3 Se 2.97-3.05, 1 Cl 3.03
9 Pt 0.5000 0.5000 0.0000  6 Nd 2.91-2.95
10 Pt 0.5000 0.5000 0.5000  6 Nd 2.91-2.95
11 Pt 0.0000 0.5000 0.5000  6 Nd 2.91-2.95
12 Se 0.0000 0.0000 0.0000  6 Nd 3.05-3.09
13 Se 0.5000 0.0000 0.0000  6 Nd 2.97
14 Se 0.0000 0.0000 0.5000  6 Nd 3.05-3.09
15 Se 0.5000 0.0000 0.5000  6 Nd 3.05-3.09
16 Cl 0.0000 0.5000 0.0000  6 Nd 3.03

Calculated values
- SG: No. 166
- Formation energy without anion corrections: -1.4984 eV/atom